Record 1
# PBE-GGA TbSc5Pb3, relaxed
data_TbSc5Pb3
_chemical_formula_sum 'Tb2 Sc10 Pb6'
_symmetry_space_group_name_H-M 'P 1'
_symmetry_Int_Tables_number 1
_symmetry_space_group_name_Hall 'P 1'
_cell_length_a 6.336
_cell_length_b 8.953
_cell_length_c 8.954
_cell_angle_alpha 120.00
_cell_angle_beta 90.00
_cell_angle_gamma 90.00
loop_
_atom_site_label
_atom_site_type_symbol
_atom_site_fract_x
_atom_site_fract_y
_atom_site_fract_z
Pb1 Pb 0.750 0.336 0.336
Pb2 Pb 0.750 0.664 0.000
Pb3 Pb 0.750 0.000 0.664
Pb4 Pb 0.250 0.000 0.336
Pb5 Pb 0.250 0.336 0.000
Pb6 Pb 0.250 0.664 0.664
Sc1 Sc 0.250 0.336 0.336
Sc2 Sc 0.500 0.667 0.333
Sc3 Sc 0.000 0.333 0.667
Sc4 Sc 0.250 0.000 0.664
Sc5 Sc 0.750 0.000 0.336
Sc6 Sc 0.250 0.664 0.000
Sc7 Sc 0.500 0.333 0.667
Sc8 Sc 0.750 0.336 0.000
Sc9 Sc 0.750 0.664 0.664
Sc10 Sc 0.000 0.667 0.333
Tb1 Tb 0.000 0.000 0.000
Tb2 Tb 0.500 0.000 0.000
# - DFT total energy (eV/atom) = -5.633
# - spin magnetization (μB per cell) = 6.93
# - calculated volume (Å³/cell) = 439.9
# - ΔH_f (0 K) (eV/atom) = -0.36
# - density of states at the Fermi level (states/eV/cell) = 18.6


Record 2
# PBE-GGA ZrF4, relaxed
data_ZrF4
_chemical_formula_sum 'Zr1 F4'
_symmetry_space_group_name_H-M 'P 1'
_symmetry_Int_Tables_number 1
_symmetry_space_group_name_Hall 'P 1'
_cell_length_a 4.095
_cell_length_b 4.095
_cell_length_c 4.095
_cell_angle_alpha 90.00
_cell_angle_beta 90.00
_cell_angle_gamma 90.00
loop_
_atom_site_label
_atom_site_type_symbol
_atom_site_fract_x
_atom_site_fract_y
_atom_site_fract_z
F1 F 0.000 0.500 0.500
F2 F 0.500 0.000 0.500
F3 F 0.500 0.500 0.000
F4 F 0.000 0.000 0.000
Zr1 Zr 0.500 0.500 0.500
# - DFT total energy (eV/atom) = -6.360
# - spin magnetization (μB per cell) = 0.11
# - calculated volume (Å³/cell) = 68.7
# - ΔE_f (raw) (eV/atom) = -3.153


Record 3
# PBE-GGA Cs2LiTmBr6, relaxed
data_Cs2LiTmBr6
_chemical_formula_sum 'Cs4 Li2 Tm2 Br12'
_symmetry_space_group_name_H-M 'P 1'
_symmetry_Int_Tables_number 1
_symmetry_space_group_name_Hall 'P 1'
_cell_length_a 7.904
_cell_length_b 7.904
_cell_length_c 13.906
_cell_angle_alpha 73.49
_cell_angle_beta 73.49
_cell_angle_gamma 60.00
loop_
_atom_site_label
_atom_site_type_symbol
_atom_site_fract_x
_atom_site_fract_y
_atom_site_fract_z
Br1 Br 0.137 0.617 0.630
Br2 Br 0.617 0.137 0.630
Br3 Br 0.383 0.383 0.370
Br4 Br 0.292 0.792 0.123
Br5 Br 0.792 0.792 0.123
Br6 Br 0.383 0.863 0.370
Br7 Br 0.863 0.383 0.370
Br8 Br 0.208 0.208 0.877
Br9 Br 0.617 0.617 0.630
Br10 Br 0.792 0.292 0.123
Br11 Br 0.708 0.208 0.877
Br12 Br 0.208 0.708 0.877
Tm1 Tm 0.586 0.586 0.241
Tm2 Tm 0.414 0.414 0.759
Cs1 Cs 0.291 0.291 0.128
Cs2 Cs 0.875 0.875 0.376
Cs3 Cs 0.125 0.125 0.624
Cs4 Cs 0.709 0.709 0.872
Li1 Li 0.000 0.000 0.000
Li2 Li 0.500 0.500 0.500
# - DFT total energy (eV/atom) = -3.634
# - spin magnetization (μB per cell) = 0.00
# - calculated volume (Å³/cell) = 710.7
# - density of states at the Fermi level (states/eV/cell) = 0.0
# - ΔE_f (raw) (eV/atom) = -1.821


Record 4
# PBE-GGA Li2MgIn2Ga2, relaxed
data_Li2MgIn2Ga2
_chemical_formula_sum 'Li2 Mg1 In2 Ga2'
_symmetry_space_group_name_H-M 'P 1'
_symmetry_Int_Tables_number 1
_symmetry_space_group_name_Hall 'P 1'
_cell_length_a 4.607
_cell_length_b 4.607
_cell_length_c 8.244
_cell_angle_alpha 73.77
_cell_angle_beta 73.77
_cell_angle_gamma 60.00
loop_
_atom_site_label
_atom_site_type_symbol
_atom_site_fract_x
_atom_site_fract_y
_atom_site_fract_z
In1 In 0.268 0.268 0.196
In2 In 0.732 0.732 0.804
Ga1 Ga 0.443 0.443 0.671
Ga2 Ga 0.557 0.557 0.329
Mg1 Mg 0.000 0.000 0.000
Li1 Li 0.137 0.137 0.590
Li2 Li 0.863 0.863 0.410
# - DFT total energy (eV/atom) = -2.562
# - spin magnetization (μB per cell) = 0.00
# - calculated volume (Å³/cell) = 143.4
# - ΔH_f (0 K) (eV/atom) = -0.14
# - density of states at the Fermi level (states/eV/cell) = 1.9


Record 5
# PBE-GGA Na3Np2SnTe6, relaxed
data_Na3Np2SnTe6
_chemical_formula_sum 'Na3 Np2 Sn1 Te6'
_symmetry_space_group_name_H-M 'P 1'
_symmetry_Int_Tables_number 1
_symmetry_space_group_name_Hall 'P 1'
_cell_length_a 7.830
_cell_length_b 7.830
_cell_length_c 7.872
_cell_angle_alpha 99.54
_cell_angle_beta 99.54
_cell_angle_gamma 120.03
loop_
_atom_site_label
_atom_site_type_symbol
_atom_site_fract_x
_atom_site_fract_y
_atom_site_fract_z
Np1 Np 0.667 0.333 0.000
Np2 Np 0.333 0.667 0.000
Na1 Na 0.500 0.500 0.500
Na2 Na 0.162 0.838 0.500
Na3 Na 0.838 0.162 0.500
Te1 Te 0.734 0.734 0.232
Te2 Te 0.579 0.922 0.767
Te3 Te 0.266 0.266 0.768
Te4 Te 0.421 0.078 0.233
Te5 Te 0.078 0.421 0.233
Te6 Te 0.922 0.579 0.767
Sn1 Sn 0.000 0.000 0.000
# - DFT total energy (eV/atom) = -5.126
# - spin magnetization (μB per cell) = 7.00
# - calculated volume (Å³/cell) = 394.2
# - density of states at the Fermi level (states/eV/cell) = 20.1
# - ΔE_f (raw) (eV/atom) = -0.736


Record 6
# PBE-GGA CsRb2Cd2, relaxed
data_CsRb2Cd2
_chemical_formula_sum 'Cs1 Rb2 Cd2'
_symmetry_space_group_name_H-M 'P 1'
_symmetry_Int_Tables_number 1
_symmetry_space_group_name_Hall 'P 1'
_cell_length_a 6.014
_cell_length_b 6.014
_cell_length_c 8.984
_cell_angle_alpha 70.45
_cell_angle_beta 70.45
_cell_angle_gamma 90.00
loop_
_atom_site_label
_atom_site_type_symbol
_atom_site_fract_x
_atom_site_fract_y
_atom_site_fract_z
Cs1 Cs 0.000 0.000 0.000
Cd1 Cd 0.593 0.593 0.815
Cd2 Cd 0.407 0.407 0.185
Rb1 Rb 0.250 0.750 0.500
Rb2 Rb 0.750 0.250 0.500
# - DFT total energy (eV/atom) = -0.907
# - energy above the most stable polymorph in this dataset (eV per formula unit) = 0.24
# - spin magnetization (μB per cell) = 0.00
# - calculated volume (Å³/cell) = 286.2
# - ΔH_f (0 K) (eV/atom) = 0.02
# - density of states at the Fermi level (states/eV/cell) = 5.8


Record 7
# PBE-GGA LaTm5Cd4, relaxed
data_LaTm5Cd4
_chemical_formula_sum 'La1 Tm5 Cd4'
_symmetry_space_group_name_H-M 'P 1'
_symmetry_Int_Tables_number 1
_symmetry_space_group_name_Hall 'P 1'
_cell_length_a 3.678
_cell_length_b 3.678
_cell_length_c 20.003
_cell_angle_alpha 90.00
_cell_angle_beta 90.00
_cell_angle_gamma 90.00
loop_
_atom_site_label
_atom_site_type_symbol
_atom_site_fract_x
_atom_site_fract_y
_atom_site_fract_z
Cd1 Cd 0.000 0.000 0.406
Cd2 Cd 0.000 0.000 0.781
Cd3 Cd 0.000 0.000 0.594
Cd4 Cd 0.000 0.000 0.219
Tm1 Tm 0.500 0.500 0.126
Tm2 Tm 0.500 0.500 0.500
Tm3 Tm 0.500 0.500 0.874
Tm4 Tm 0.500 0.500 0.686
Tm5 Tm 0.500 0.500 0.314
La1 La 0.000 0.000 0.000
# - DFT total energy (eV/atom) = -3.335
# - spin magnetization (μB per cell) = 0.00
# - calculated volume (Å³/cell) = 270.5
# - ΔH_f (0 K) (eV/atom) = -0.24
# - density of states at the Fermi level (states/eV/cell) = 10.5


Record 8
# PBE-GGA HfCr3Ir, relaxed
data_HfCr3Ir
_chemical_formula_sum 'Hf1 Cr3 Ir1'
_symmetry_space_group_name_H-M 'P 1'
_symmetry_Int_Tables_number 1
_symmetry_space_group_name_Hall 'P 1'
_cell_length_a 4.404
_cell_length_b 4.404
_cell_length_c 4.404
_cell_angle_alpha 90.00
_cell_angle_beta 90.00
_cell_angle_gamma 90.00
loop_
_atom_site_label
_atom_site_type_symbol
_atom_site_fract_x
_atom_site_fract_y
_atom_site_fract_z
Hf1 Hf 0.000 0.000 0.000
Ir1 Ir 0.500 0.500 0.500
Cr1 Cr 0.500 0.000 0.000
Cr2 Cr 0.000 0.000 0.500
Cr3 Cr 0.000 0.500 0.000
# - DFT total energy (eV/atom) = -7.404
# - energy above the most stable polymorph in this dataset (eV per formula unit) = 5.08
# - spin magnetization (μB per cell) = 0.00
# - calculated volume (Å³/cell) = 85.4
# - ΔH_f (0 K) (eV/atom) = 2.13
# - density of states at the Fermi level (states/eV/cell) = 7.5


Record 9
# PBE-GGA SrCd3Ge, relaxed
data_SrCd3Ge
_chemical_formula_sum 'Sr1 Cd3 Ge1'
_symmetry_space_group_name_H-M 'P 1'
_symmetry_Int_Tables_number 1
_symmetry_space_group_name_Hall 'P 1'
_cell_length_a 5.379
_cell_length_b 5.379
_cell_length_c 5.379
_cell_angle_alpha 90.00
_cell_angle_beta 90.00
_cell_angle_gamma 90.00
loop_
_atom_site_label
_atom_site_type_symbol
_atom_site_fract_x
_atom_site_fract_y
_atom_site_fract_z
Cd1 Cd 0.000 0.000 0.500
Cd2 Cd 0.000 0.500 0.000
Cd3 Cd 0.500 0.000 0.000
Ge1 Ge 0.000 0.000 0.000
Sr1 Sr 0.500 0.500 0.500
# - DFT total energy (eV/atom) = -1.768
# - energy above the most stable polymorph in this dataset (eV per formula unit) = 1.56
# - spin magnetization (μB per cell) = 0.00
# - calculated volume (Å³/cell) = 155.6
# - ΔH_f (0 K) (eV/atom) = 0.04
# - density of states at the Fermi level (states/eV/cell) = 3.1


Record 10
# PBE-GGA ZnNi2H2, relaxed
data_ZnNi2H2
_chemical_formula_sum 'Zn2 Ni4 H4'
_symmetry_space_group_name_H-M 'P 1'
_symmetry_Int_Tables_number 1
_symmetry_space_group_name_Hall 'P 1'
_cell_length_a 5.676
_cell_length_b 5.676
_cell_length_c 2.721
_cell_angle_alpha 90.00
_cell_angle_beta 90.00
_cell_angle_gamma 90.00
loop_
_atom_site_label
_atom_site_type_symbol
_atom_site_fract_x
_atom_site_fract_y
_atom_site_fract_z
H1 H 0.201 0.299 0.000
H2 H 0.701 0.201 0.000
H3 H 0.799 0.701 0.000
H4 H 0.299 0.799 0.000
Ni1 Ni 0.818 0.318 0.500
Ni2 Ni 0.682 0.818 0.500
Ni3 Ni 0.182 0.682 0.500
Ni4 Ni 0.318 0.182 0.500
Zn1 Zn 0.500 0.500 0.000
Zn2 Zn 0.000 0.000 0.000
# - DFT total energy (eV/atom) = -3.785
# - energy above the most stable polymorph in this dataset (eV per formula unit) = 1.17
# - spin magnetization (μB per cell) = 0.00
# - calculated volume (Å³/cell) = 87.7
# - density of states at the Fermi level (states/eV/cell) = 2.7


Record 11
# PBE-GGA Tm4BPb2, relaxed
data_Tm4BPb2
_chemical_formula_sum 'Tm4 B1 Pb2'
_symmetry_space_group_name_H-M 'P 1'
_symmetry_Int_Tables_number 1
_symmetry_space_group_name_Hall 'P 1'
_cell_length_a 4.849
_cell_length_b 4.849
_cell_length_c 8.674
_cell_angle_alpha 73.77
_cell_angle_beta 73.77
_cell_angle_gamma 90.00
loop_
_atom_site_label
_atom_site_type_symbol
_atom_site_fract_x
_atom_site_fract_y
_atom_site_fract_z
Tm1 Tm 0.838 0.838 0.324
Tm2 Tm 0.000 0.500 0.000
Tm3 Tm 0.162 0.162 0.676
Tm4 Tm 0.500 0.000 0.000
Pb1 Pb 0.640 0.640 0.720
Pb2 Pb 0.360 0.360 0.280
B1 B 0.000 0.000 0.000
# - DFT total energy (eV/atom) = -4.978
# - spin magnetization (μB per cell) = 0.00
# - calculated volume (Å³/cell) = 187.3
# - ΔH_f (0 K) (eV/atom) = -0.41
# - density of states at the Fermi level (states/eV/cell) = 3.6


Record 12
# PBE-GGA CaPuTlPb, relaxed
data_CaPuTlPb
_chemical_formula_sum 'Ca1 Pu1 Tl1 Pb1'
_symmetry_space_group_name_H-M 'P 1'
_symmetry_Int_Tables_number 1
_symmetry_space_group_name_Hall 'P 1'
_cell_length_a 5.510
_cell_length_b 5.510
_cell_length_c 5.510
_cell_angle_alpha 60.00
_cell_angle_beta 60.00
_cell_angle_gamma 60.00
loop_
_atom_site_label
_atom_site_type_symbol
_atom_site_fract_x
_atom_site_fract_y
_atom_site_fract_z
Tl1 Tl 0.250 0.250 0.250
Pb1 Pb 0.750 0.750 0.750
Ca1 Ca 0.000 0.000 0.000
Pu1 Pu 0.500 0.500 0.500
# - DFT total energy (eV/atom) = -5.835
# - energy above the most stable polymorph in this dataset (eV per formula unit) = 0.02
# - spin magnetization (μB per cell) = 5.87
# - calculated volume (Å³/cell) = 118.3
# - ΔH_f (0 K) (eV/atom) = -0.23
# - density of states at the Fermi level (states/eV/cell) = 14.6


> Among the records above, which one has the highest DFT total energy?

CsRb2Cd2